# 1
First-principles (PBE) data for a geometry-optimized MnRe2Ir structure, as listed in the Alexandria database.

a b c (Å): 3.8499 3.8499 7.5883
angles (deg): 90.00 90.00 90.00
Closest atoms and distances in Å follow each position.
Space group I-4m2 (No. 119)
Unique sites:
1 Mn 0.0000 0.0000 0.0000 (multiplicity 2)  8 Re 2.70-2.72, 4 Ir 2.70
2 Re 0.0000 0.0000 0.5000 (multiplicity 2)  4 Re 2.70, 4 Ir 2.70, 4 Mn 2.72
3 Re 0.0000 0.5000 0.7500 (multiplicity 2)  4 Mn 2.70, 4 Re 2.70, 4 Ir 2.72
4 Ir 0.0000 0.5000 0.2500 (multiplicity 2)  4 Mn 2.70, 8 Re 2.70-2.72

Values from the calculation:
DFT total energy in eV/atom: -10.791
Energy relative to the lowest polymorph listed for this composition in meV per atom: 19


# 2
First-principles (PBE) data for a geometry-optimized Mn2ReIr structure, as listed in the Alexandria database.

a b c (Å): 3.0033 4.4169 8.4025
angles (deg): 90.00 90.00 90.00
Closest atoms and distances in Å follow each position.
Space group Cmmm (No. 65)
Unique sites:
1 Mn 0.0000 0.0000 0.2472 (multiplicity 4)  2 Re 2.56, 2 Ir 2.60, 4 Mn 2.67
2 Re 0.0000 0.5000 0.0000 (multiplicity 2)  4 Mn 2.56, 4 Re 2.67
3 Ir 0.0000 0.5000 0.5000 (multiplicity 2)  4 Mn 2.60, 4 Ir 2.67

Values from the calculation:
DFT total energy in eV/atom: -9.774


# 3
First-principles (PBE) data for a geometry-optimized Mn2ReIr structure, as listed in the Alexandria database.

a b c (Å): 2.9114 4.4995 8.5661
angles (deg): 90.00 90.00 90.00
Closest atoms and distances in Å follow each position.
Space group Immm (No. 71)
Unique sites:
1 Mn 0.0000 0.0000 0.2459 (multiplicity 4)  2 Re 2.56, 2 Ir 2.62, 4 Mn 2.68
2 Re 0.0000 0.5000 0.5000 (multiplicity 2)  4 Mn 2.56, 4 Ir 2.68
3 Ir 0.0000 0.5000 0.0000 (multiplicity 2)  4 Mn 2.62, 4 Re 2.68, 2 Ir 2.91

Values from the calculation:
DFT total energy in eV/atom: -9.777


# 4
First-principles (PBE) data for a geometry-optimized MnReIr2 structure, as listed in the Alexandria database.

a b c (Å): 8.9591 2.7261 4.7006
angles (deg): 90.00 100.09 90.00
Closest atoms and distances in Å follow each position.
Space group Cm (No. 8)
Unique sites:
1 Mn 0.0000 0.0000 0.0000 (multiplicity 2)  7 Ir 2.65-2.73, 2 Mn 2.73, 3 Re 2.74
2 Re 0.2484 0.0000 0.7315 (multiplicity 2)  7 Ir 2.66-2.74, 2 Re 2.73, 3 Mn 2.74
3 Ir 0.2487 0.5000 0.2250 (multiplicity 2)  3 Mn 2.65-2.67, 4 Re 2.69-2.74, 5 Ir 2.73-2.78
4 Ir 0.4994 0.0000 0.5026 (multiplicity 2)  3 Re 2.66-2.67, 4 Mn 2.71-2.73, 5 Ir 2.73-2.78

Values from the calculation:
DFT total energy in eV/atom: -9.939
Energy relative to the lowest polymorph listed for this composition in meV per atom: 100


# 5
First-principles (PBE) data for a geometry-optimized MnReIr2 structure, as listed in the Alexandria database.

a b c (Å): 2.7274 3.8199 5.4091
angles (deg): 90.00 90.00 90.00
Closest atoms and distances in Å follow each position.
Space group Pmmm (No. 47)
Unique sites:
1 Mn 0.0000 0.0000 0.0000 (multiplicity 1)  8 Ir 2.70, 2 Re 2.70, 2 Mn 2.73
2 Re 0.0000 0.0000 0.5000 (multiplicity 1)  2 Mn 2.70, 8 Ir 2.72, 2 Re 2.73
3 Ir 0.5000 0.5000 0.2476 (multiplicity 2)  4 Ir 2.68-2.73, 4 Mn 2.70, 4 Re 2.72

Values from the calculation:
DFT total energy in eV/atom: -10.016
Energy relative to the lowest polymorph listed for this composition in meV per atom: 24


# 6
First-principles (PBE) data for a geometry-optimized Mn2ReIr structure, as listed in the Alexandria database.

a b c (Å): 2.6619 3.6679 5.3639
angles (deg): 90.00 90.00 90.00
Closest atoms and distances in Å follow each position.
Space group Pmmm (No. 47)
Unique sites:
1 Mn 0.0000 0.0000 0.2472 (multiplicity 2)  4 Ir 2.63, 4 Re 2.64, 4 Mn 2.65-2.71
2 Re 0.5000 0.5000 0.5000 (multiplicity 1)  8 Mn 2.64, 2 Re 2.66, 2 Ir 2.68
3 Ir 0.5000 0.5000 0.0000 (multiplicity 1)  8 Mn 2.63, 2 Ir 2.66, 2 Re 2.68

Values from the calculation:
DFT total energy in eV/atom: -9.938


# 7
First-principles (PBE) data for a geometry-optimized MnRe2Ir2 structure, as listed in the Alexandria database.

a b c (Å): 7.5937 7.5937 2.7242
angles (deg): 90.00 90.00 90.00
Closest atoms and distances in Å follow each position.
Space group P4/mbm (No. 127)
Unique sites:
1 Mn 0.0000 0.0000 0.0000 (multiplicity 2)  2 Mn 2.72, 4 Ir 3.00
2 Re 0.1722 0.3278 0.5000 (multiplicity 4)  6 Ir 2.57-2.66, 2 Re 2.72
3 Ir 0.1243 0.6243 0.0000 (multiplicity 4)  6 Re 2.57-2.66, 3 Ir 2.67-2.72

Values from the calculation:
DFT total energy in eV/atom: -10.199
Energy relative to the lowest polymorph listed for this composition in meV per atom: 0


# 8
First-principles (PBE) data for a geometry-optimized MnReIr2 structure, as listed in the Alexandria database.

a b c (Å): 2.8174 4.3675 9.3717
angles (deg): 90.00 90.00 90.00
Closest atoms and distances in Å follow each position.
Space group Imm2 (No. 44)
Unique sites:
1 Mn 0.0000 0.0000 0.0000 (multiplicity 2)  2 Re 2.47, 6 Ir 2.51-2.60
2 Re 0.0000 0.5000 0.2835 (multiplicity 2)  2 Mn 2.47, 4 Ir 2.66
3 Ir 0.0000 0.0000 0.5118 (multiplicity 2)  4 Mn 2.60, 2 Ir 2.82, 2 Re 2.91
4 Ir 0.0000 0.5000 0.7214 (multiplicity 2)  2 Mn 2.51, 4 Re 2.66

Values from the calculation:
DFT total energy in eV/atom: -9.735
Energy relative to the lowest polymorph listed for this composition in meV per atom: 305